! Ho13Er3 PBE relaxed; values from VASP
! Formation enthalpy at 0 K, kJ/mol of atoms: 0.2
! E_tot, eV/atom: -4.573
&SYSTEM
  ibrav = 0, nat = 16, ntyp = 2
/
ATOMIC_SPECIES
Ho 164.93 Ho.upf
Er 167.26 Er.upf
ATOMIC_POSITIONS crystal
Ho 0.500 0.709 0.792
Ho 0.250 0.458 0.041
Ho 0.500 0.291 0.709
Ho 0.750 0.458 0.041
Ho 0.500 0.208 0.291
Ho 0.500 0.792 0.208
Ho 0.000 0.709 0.792
Ho 0.250 0.541 0.459
Ho 0.000 0.792 0.208
Ho 0.000 0.208 0.291
Ho 0.750 0.959 0.542
Ho 0.250 0.959 0.542
Ho 0.750 0.541 0.459
Er 0.250 0.042 0.958
Er 0.000 0.291 0.709
Er 0.750 0.042 0.958
CELL_PARAMETERS angstrom
7.195 0.000 0.000
0.000 8.294 -0.919
0.000 -0.005 8.345



! Ho7Er5 PBE relaxed; values from VASP
! Formation enthalpy at 0 K, kJ/mol of atoms: 19.1
! E_tot, eV/atom: -4.373
&SYSTEM
  ibrav = 0, nat = 12, ntyp = 2
/
ATOMIC_SPECIES
Ho 164.93 Ho.upf
Er 167.26 Er.upf
ATOMIC_POSITIONS crystal
Ho 0.770 0.540 0.327
Ho 0.690 0.380 0.078
Ho 0.500 0.000 0.500
Ho 0.062 0.124 0.213
Ho 0.938 0.876 0.787
Ho 0.310 0.620 0.922
Ho 0.230 0.460 0.673
Er 0.610 0.219 0.807
Er 0.390 0.781 0.193
Er 0.145 0.290 0.440
Er 0.855 0.710 0.560
Er 0.000 0.000 0.000
CELL_PARAMETERS angstrom
-2.042 5.120 -0.800
1.188 -3.231 -4.319
-13.280 -4.757 3.457



! Ho3Er8 PBE relaxed; values from VASP
! Formation enthalpy at 0 K, kJ/mol of atoms: 57.5
! E_tot, eV/atom: -3.971
&SYSTEM
  ibrav = 0, nat = 11, ntyp = 2
/
ATOMIC_SPECIES
Er 167.26 Er.upf
Ho 164.93 Ho.upf
ATOMIC_POSITIONS crystal
Er 0.699 0.839 0.123
Er 0.393 0.393 0.393
Er 0.123 0.699 0.839
Er 0.301 0.161 0.877
Er 0.607 0.607 0.607
Er 0.161 0.877 0.301
Er 0.839 0.123 0.699
Er 0.877 0.301 0.161
Ho 0.000 0.500 0.500
Ho 0.500 0.500 0.000
Ho 0.500 0.000 0.500
CELL_PARAMETERS angstrom
7.101 0.365 0.356
0.545 7.090 0.356
0.545 0.532 7.079